[1]
DFT (PBE-GGA) results for crystalline Ac2Zn4SnAu3 at its relaxed geometry.

Output
The energy of formation is -0.53 eV/atom.

a = 4.4776 Å, b = 4.4776 Å, c = 11.2940 Å
α = 90.00°, β = 90.00°, γ = 90.00°
Fractional coordinates of all 10 atoms:
Zn1 0.0000 0.0000 0.0000
Au1 0.0000 0.5000 0.1306
Zn2 0.0000 0.5000 0.3604
Au2 0.5000 0.0000 0.8694
Ac1 0.5000 0.0000 0.2421
Ac2 0.0000 0.5000 0.7579
Sn1 0.5000 0.5000 0.5000
Zn3 0.5000 0.0000 0.6396
Au3 0.0000 0.0000 0.5000
Zn4 0.5000 0.5000 0.0000

=====

[2]
DFT (PBE-GGA) results for crystalline Co2HgSe at its relaxed geometry.

Output
For the energy above the most stable polymorph in this dataset, the calculation gives 195 meV per atom. For the formation energy from raw total energies, the calculation gives 0.392 eV per atom.

a = 5.9213 Å, b = 5.9213 Å, c = 5.9213 Å
α = 151.99°, β = 136.35°, γ = 52.66°
Each line ends with the local moment (μB).
Fractional coordinates of all 4 atoms:
Co1 0.0134 0.0134 0.0000  1.05
Hg1 0.4735 0.4735 0.0000  -0.02
Se1 0.1972 0.6972 0.5000  0.03
Co2 0.8159 0.3159 0.5000  1.84

=====

[3]
DFT (PBE-GGA) results for crystalline YZr2TePb at its relaxed geometry.

Output
For the formation energy from raw total energies, the calculation gives 0.664 eV per atom.

a = 5.4519 Å, b = 5.7479 Å, c = 5.4519 Å
α = 90.00°, β = 90.00°, γ = 90.00°
Each line ends with the local moment (μB).
Fractional coordinates of all 5 atoms:
Pb1 0.0000 0.0000 0.0000  0.01
Zr1 0.5000 0.0000 0.0000  0.85
Zr2 0.0000 0.0000 0.5000  0.96
Te1 0.5000 0.5000 0.5000  -0.02
Y1 0.0000 0.5000 0.0000  0.18